First-principles (PBE with a Hubbard U) data for KVCO5 after structural relaxation, as listed in Alexandria via LeMat-Bulk.

POSCAR file:
```
KVCO5
1.0
-0.461 -4.750 -2.415
4.644 1.983 -1.764
0.961 -1.387 6.802
K V C O
2 2 2 10
direct
0.337 0.663 0.250 K
0.663 0.337 0.750 K
0.000 0.000 0.500 V
0.000 0.000 0.000 V
0.694 0.306 0.250 C
0.306 0.694 0.750 C
0.056 0.944 0.250 O
0.944 0.056 0.750 O
0.866 0.292 0.130 O
0.134 0.708 0.870 O
0.708 0.134 0.370 O
0.292 0.866 0.630 O
0.776 0.589 0.390 O
0.224 0.411 0.610 O
0.411 0.224 0.110 O
0.589 0.776 0.890 O
```

Crystal system   monoclinic
E_tot   -106.9 eV per cell

First-principles (PBE with a Hubbard U) data for K3VCO8 after structural relaxation, as listed in Alexandria via LeMat-Bulk.

POSCAR file:
```
K3VCO8
1.0
6.578 0.019 0.009
-0.135 6.577 0.009
2.213 2.266 4.771
K V C O
3 1 1 8
direct
0.401 0.401 0.106 K
0.086 0.657 0.634 K
0.657 0.086 0.634 K
0.996 0.996 0.000 V
0.662 0.662 0.357 C
0.750 0.750 0.078 O
0.099 0.099 0.651 O
0.251 0.970 0.081 O
0.766 0.181 0.063 O
0.181 0.766 0.063 O
0.497 0.497 0.509 O
0.760 0.760 0.454 O
0.970 0.251 0.081 O
```

Crystal system   monoclinic
E_tot   -79.6 eV per cell